[1]
Density functional theory data (PBE-GGA) for Zn2Ge after structural relaxation.

Lattice parameters (Å, degrees): 4.9786 4.9786 4.7350 90.00 90.00 120.00
Space group P-62m (No. 189)
One atom of each set of equivalent atoms:
Zn1 0.0000 0.0000 0.0000 (multiplicity 1)
Zn2 0.0000 0.3255 0.5000 (multiplicity 3)
Ge1 0.3333 0.6667 0.0000 (multiplicity 2)

Calculated values
The volume comes out at 16.9 Å³ per atom. As for the uncorrected energy: -2.208 eV/atom.



[2]
Density functional theory data (PBE-GGA) for Ta4CdF22 after structural relaxation.

Lattice parameters (Å, degrees): 8.518 9.008 9.815 94.47 111.52 100.80
Space group P-1 (No. 2)
One atom of each set of equivalent atoms:
Ta1 0.007 0.487 0.178 (multiplicity 2)
Ta2 0.227 0.026 0.279 (multiplicity 2)
Ta3 0.281 0.075 0.825 (multiplicity 2)
Ta4 0.421 0.576 0.729 (multiplicity 2)
Cd1 0.016 0.749 0.500 (multiplicity 2)
F1 0.020 0.320 0.739 (multiplicity 2)
F2 0.029 0.442 0.374 (multiplicity 2)
F3 0.043 0.039 0.836 (multiplicity 2)
F4 0.051 0.726 0.875 (multiplicity 2)
F5 0.112 0.440 0.011 (multiplicity 2)
F6 0.131 0.091 0.624 (multiplicity 2)
F7 0.155 0.178 0.379 (multiplicity 2)
F8 0.206 0.843 0.163 (multiplicity 2)
F9 0.209 0.151 0.131 (multiplicity 2)
F10 0.210 0.863 0.721 (multiplicity 2)
F11 0.214 0.914 0.436 (multiplicity 2)
F12 0.242 0.576 0.269 (multiplicity 2)
F13 0.249 0.559 0.836 (multiplicity 2)
F14 0.259 0.649 0.566 (multiplicity 2)
F15 0.279 0.377 0.625 (multiplicity 2)
F16 0.309 0.275 0.910 (multiplicity 2)
F17 0.346 0.976 0.990 (multiplicity 2)
F18 0.426 0.391 0.367 (multiplicity 2)
F19 0.445 0.522 0.127 (multiplicity 2)
F20 0.464 0.095 0.381 (multiplicity 2)
F21 0.471 0.130 0.774 (multiplicity 2)
F22 0.483 0.771 0.842 (multiplicity 2)

Calculated values
The volume comes out at 12.6 Å³ per atom. The magnetic moment comes out at 0.00 μB per cell. As for the uncorrected energy: -6.349 eV/atom.



[3]
Density functional theory data (PBE-GGA) for NdErMg6 after structural relaxation.

Lattice parameters (Å, degrees): 5.185 5.185 7.406 90.00 90.00 90.00
Space group P4/mmm (No. 123)
One atom of each set of equivalent atoms:
Nd1 0.000 0.000 0.000 (multiplicity 1)
Er1 0.500 0.500 0.500 (multiplicity 1)
Mg1 0.000 0.000 0.500 (multiplicity 1)
Mg2 0.000 0.500 0.257 (multiplicity 4)
Mg3 0.500 0.500 0.000 (multiplicity 1)

Calculated values
The volume comes out at 24.9 Å³ per atom. The magnetic moment comes out at 0.02 μB per cell. As for the uncorrected energy: -2.412 eV/atom.